## Ac2Tb3Nd4 (PBE)

Data for an optimized crystal structure of Ac2Tb3Nd4.

a b c (Å): 9.007 8.849 8.854
angles (deg): 90.00 90.00 111.57
Element x y z (fractional)
Tb: 0.500 0.500 0.000
Tb: 0.252 0.249 0.674
Tb: 0.748 0.751 0.326
Tb: 0.000 0.500 0.500
Tb: 0.752 0.249 0.826
Tb: 0.248 0.751 0.174
Ac: 0.452 0.824 0.652
Ac: 0.952 0.824 0.848
Ac: 0.548 0.176 0.348
Ac: 0.048 0.176 0.152
Nd: 0.646 0.516 0.637
Nd: 0.368 0.086 0.962
Nd: 0.868 0.086 0.538
Nd: 0.854 0.484 0.137
Nd: 0.632 0.914 0.038
Nd: 0.146 0.516 0.863
Nd: 0.132 0.914 0.462
Nd: 0.354 0.484 0.363

Calculated values
- Density of states at the Fermi level: 23.383 states/eV/cell
- Total magnetic moment: 0.00 μB per formula unit
- Theoretical density: 7.6 Mg/m³
- Excess energy over the best structure of this formula in the dataset: 0.0570 eV per atom
- SG: No. 14